! MgWOF2 (PBE with a Hubbard U, optimized geometry); values from VASP
&SYSTEM
  ibrav = 0, nat = 5, ntyp = 4
/
ATOMIC_SPECIES
Mg 24.30 Mg.upf
O 16.00 O.upf
W 183.84 W.upf
F 19.00 F.upf
ATOMIC_POSITIONS crystal
Mg 0.000 0.000 0.000
O 0.000 0.000 0.500
W 0.500 0.500 0.500
F 0.000 0.500 0.000
F 0.500 0.000 0.000
CELL_PARAMETERS angstrom
3.712 0.000 0.000
0.000 3.712 0.000
0.000 0.000 4.540
! Total energy in eV/atom: -5.3310
! Polymorph energy (0 for the lowest one) in eV/atom: 0.0000
! Calculated volume in Å³/cell: 63